w) This record from Alexandria describes a geometry-optimized CrCd3O structure. The functional is PBE+U.

The structure belongs to space group Pm-3m (No. 221); the cell edges are 4.663, 4.663 and 4.663 Å and the angles 90.00°, 90.00° and 90.00°. The asymmetric unit holds Cr at (0.000, 0.000, 0.000), Cd at (0.000, 0.500, 0.500) and O at (0.500, 0.500, 0.500).

The density of states at the Fermi level comes out at 2.67 states/eV/f.u. The density comes out at 6.6 g/cm³.

x) This record from Alexandria describes a geometry-optimized CrCd3O structure. The functional is PBE+U.

The structure belongs to space group Pm-3m (No. 221); the cell edges are 5.418, 5.418 and 5.418 Å and the angles 90.00°, 90.00° and 90.00°. The asymmetric unit holds Cr at (0.000, 0.000, 0.000), Cd at (0.000, 0.000, 0.500) and O at (0.500, 0.500, 0.500).

The density of states at the Fermi level comes out at 7.79 states/eV/f.u. The density comes out at 4.2 g/cm³.

List of relative energies, unit kJ/mol of atoms: w) 0.0; x) 73.3

w) This record from Alexandria describes a geometry-optimized CrCdP2O structure. The functional is PBE+U.

The structure belongs to space group P4/mmm (No. 123); the cell edges are 4.989, 4.989 and 3.522 Å and the angles 90.00°, 90.00° and 90.00°. The asymmetric unit holds Cr at (0.000, 0.000, 0.000), Cd at (0.500, 0.500, 0.500), P at (0.000, 0.500, 0.000) and O at (0.000, 0.000, 0.500).

The density of states at the Fermi level comes out at 2.43 states/eV/f.u. The density comes out at 4.6 g/cm³.

x) This record from Alexandria describes a geometry-optimized CrCdP2O structure. The functional is PBE+U.

The structure belongs to space group P4/mmm (No. 123); the cell edges are 4.961, 4.961 and 4.013 Å and the angles 90.00°, 90.00° and 90.00°. The asymmetric unit holds Cr at (0.000, 0.000, 0.000), Cd at (0.500, 0.500, 0.500), P at (0.000, 0.500, 0.500) and O at (0.500, 0.500, 0.000).

The density of states at the Fermi level comes out at 6.10 states/eV/f.u. The density comes out at 4.1 g/cm³.

List of relative energies, unit kJ/mol of atoms: w) 0.0; x) 131.8